Density functional theory data (PBE) for a relaxed structure of ScHPd3.

abc: 5.7589 5.7589 5.7589
angles: 60.36 60.36 60.36
Fractional positions:
Sc (0.2497, 0.2497, 0.2497)
Sc (0.7503, 0.7503, 0.7503)
H (0.0876, 0.0876, 0.0876)
H (0.9124, 0.9124, 0.9124)
Pd (0.2572, 0.2573, 0.7343)
Pd (0.2573, 0.7343, 0.2572)
Pd (0.2657, 0.7428, 0.7427)
Pd (0.7427, 0.2657, 0.7428)
Pd (0.7428, 0.7427, 0.2657)
Pd (0.7343, 0.2572, 0.2573)

Summary:
Its distance to the lowest polymorph of the same formula is 0.014 eV/atom.